Below is an optimized crystal structure of Ba2TlAu, with properties calculated at the PBE level.

## Properties
- calculated formation energy (kJ/mol of atoms) = -43.6
- uncorrected energy (eV per cell) = -22.59
- polymorph energy (0 for the lowest one) (meV per atom) = 82

Unit cell a=8.0341 b=4.6408 c=9.4293 alpha=90.00 beta=106.57 gamma=90.00
With the nearest neighbours (Å) after each atom.
Space group C2/m (No. 12)
Unique sites:
1 Ba 0.2402 0.0000 0.2214 x4  3 Au 3.34-3.35, 3 Tl 3.68
2 Tl 0.0000 0.0000 0.5000 x2  6 Ba 3.68
3 Au 0.0000 0.5000 0.0000 x2  6 Ba 3.34-3.35

Below is an optimized crystal structure of BaTl2Au, with properties calculated at the PBE level.

## Properties
- calculated formation energy (kJ/mol of atoms) = -22.1
- uncorrected energy (eV per cell) = -43.40

Unit cell a=7.7763 b=7.7763 c=7.7763 alpha=90.00 beta=90.00 gamma=90.00
With the nearest neighbours (Å) after each atom.
Space group Fm-3m (No. 225)
Unique sites:
1 Ba 0.0000 0.0000 0.0000 x4  8 Tl 3.37
2 Tl 0.2500 0.2500 0.2500 x8  4 Ba 3.37, 4 Au 3.37
3 Au 0.0000 0.0000 0.5000 x4  8 Tl 3.37

Below is an optimized crystal structure of BaTl2Au, with properties calculated at the PBE level.

## Properties
- calculated formation energy (kJ/mol of atoms) = -31.8
- uncorrected energy (eV per cell) = -33.75

Unit cell a=4.9201 b=4.9201 c=18.3311 alpha=90.00 beta=90.00 gamma=120.00
With the nearest neighbours (Å) after each atom.
Space group R-3m (No. 166, hexagonal axes)
Unique sites:
1 Ba 0.0000 0.0000 0.0000 x3  6 Tl 3.54
2 Tl 0.0000 0.0000 0.2184 x6  3 Au 2.99
3 Au 0.0000 0.0000 0.5000 x3  6 Tl 2.99

Below is an optimized crystal structure of Ba6TlAu3, with properties calculated at the PBE level.

## Properties
- calculated formation energy (kJ/mol of atoms) = -49.8
- uncorrected energy (eV per cell) = -57.80

Unit cell a=13.7849 b=4.7792 c=14.2123 alpha=90.00 beta=108.62 gamma=90.00
With the nearest neighbours (Å) after each atom.
Space group P2_1/m (No. 11)
Unique sites:
1 Ba 0.0255 0.2500 0.3877 x2  3 Au 3.30-3.35
2 Ba 0.1082 0.2500 0.9454 x2  4 Au 3.32-3.39
3 Ba 0.2245 0.7500 0.2670 x2  3 Au 3.33-3.56
4 Ba 0.2965 0.7500 0.7561 x2  3 Au 3.27-3.44
5 Ba 0.3744 0.2500 0.5346 x2  2 Au 3.47, 3 Tl 3.71-3.82
6 Ba 0.4243 0.7500 0.0920 x2  3 Au 3.31-3.33, 2 Tl 3.70
7 Tl 0.4463 0.2500 0.2963 x2  8 Ba 3.70-3.85
8 Au 0.0563 0.2500 0.1634 x2  6 Ba 3.32-3.39
9 Au 0.1845 0.7500 0.5026 x2  6 Ba 3.30-3.56
10 Au 0.3404 0.2500 0.9219 x2  6 Ba 3.27-3.33

Below is an optimized crystal structure of Ba2TlAu9, with properties calculated at the PBE level.

## Properties
- calculated formation energy (kJ/mol of atoms) = -29.3
- uncorrected energy (eV per cell) = -118.05

Unit cell a=5.9549 b=5.9549 c=27.8513 alpha=90.00 beta=90.00 gamma=120.00
With the nearest neighbours (Å) after each atom.
Space group R-3m (No. 166, hexagonal axes)
Unique sites:
1 Ba 0.0000 0.0000 0.1365 x6  12 Au 3.34-3.63
2 Tl 0.0000 0.0000 0.0000 x3  18 Au 3.44-3.75, 2 Ba 3.80
3 Au 0.0000 0.0000 0.3329 x6  6 Au 2.84-2.87
4 Au 0.0000 0.0000 0.5000 x3  6 Au 2.93
5 Au 0.0025 0.5012 0.9181 x18  7 Au 2.84-3.00

Below is an optimized crystal structure of Ba3Tl7Au2, with properties calculated at the PBE level.

## Properties
- calculated formation energy (kJ/mol of atoms) = -31.9
- uncorrected energy (eV per cell) = -32.85
- polymorph energy (0 for the lowest one) (meV per atom) = 0

Unit cell a=5.2513 b=4.5859 c=16.5434 alpha=90.00 beta=98.73 gamma=90.00
With the nearest neighbours (Å) after each atom.
Space group P2/m (No. 10)
Unique sites:
1 Ba 0.0000 0.0000 0.0000 x1  12 Tl 3.49-3.78
2 Ba 0.3204 0.5000 0.6487 x2  4 Au 3.67-3.69, 10 Tl 3.82-4.02
3 Tl 0.0854 0.5000 0.1671 x2  2 Au 2.93
4 Tl 0.2277 0.0000 0.4523 x2  1 Au 2.83, 2 Tl 3.05-3.06
5 Tl 0.4146 0.0000 0.8356 x2  2 Au 3.20-3.25, 6 Tl 3.48-3.53
6 Tl 0.5000 0.5000 0.0000 x1  4 Ba 3.49, 8 Tl 3.53-3.81
7 Au 0.1468 0.0000 0.2790 x2  3 Tl 2.83-2.93

Below is an optimized crystal structure of BaTl3Au3, with properties calculated at the PBE level.

## Properties
- calculated formation energy (kJ/mol of atoms) = -5.7
- uncorrected energy (eV per cell) = -38.54
- polymorph energy (0 for the lowest one) (meV per atom) = 248

Unit cell a=7.8556 b=7.8556 c=7.8556 alpha=90.00 beta=90.00 gamma=90.00
With the nearest neighbours (Å) after each atom.
Space group Pm-3n (No. 223)
Unique sites:
1 Ba 0.0000 0.0000 0.0000 x2  12 Tl 4.39, 12 Au 4.39
2 Tl 0.0000 0.2500 0.5000 x6  4 Au 2.78
3 Au 0.0000 0.5000 0.2500 x6  4 Tl 2.78

Below is an optimized crystal structure of Ba7TlAu3, with properties calculated at the PBE level.

## Properties
- calculated formation energy (kJ/mol of atoms) = -41.7
- uncorrected energy (eV per cell) = -60.82

Unit cell a=10.6893 b=12.1490 c=8.1462 alpha=90.00 beta=108.66 gamma=90.00
With the nearest neighbours (Å) after each atom.
Space group C2/m (No. 12)
Unique sites:
1 Ba 0.0000 0.0000 0.0000 x2  2 Au 3.36
2 Ba 0.1524 0.5000 0.2228 x4  3 Au 3.18-3.38
3 Ba 0.1657 0.2900 0.7260 x8  3 Au 3.27-3.65
4 Tl 0.0000 0.0000 0.5000 x2  8 Ba 3.68-4.11
5 Au 0.0000 0.2767 0.0000 x4  7 Ba 3.27-3.65
6 Au 0.0000 0.5000 0.5000 x2  6 Ba 3.18-3.31